[1]
Entry from Alexandria: a relaxed structure of Mn2AgW (GGA-PBE).

Calculated values
The value obtained for the formation enthalpy at 0 K is 1.741 eV per formula unit. Its energy above the lowest structure with this stoichiometry is 111 meV/atom.

```
data_Mn2AgW
_cell_length_a 4.1432
_cell_length_b 4.1432
_cell_length_c 3.3101
_cell_angle_alpha 90.00
_cell_angle_beta 90.00
_cell_angle_gamma 90.00
_space_group_name_H-M_alt 'P 4/m m m'
_space_group_IT_number 123
_space_group_name_Hall '-P 4 2'
loop_
_atom_site_label
_atom_site_fract_x
_atom_site_fract_y
_atom_site_fract_z
Mn1 0.0000 0.5000 0.0000
Ag1 0.0000 0.0000 0.5000
W1 0.5000 0.5000 0.5000
```


[2]
Entry from Alexandria: a relaxed structure of Rb3Ho2TlO6 (GGA-PBE).

Calculated values
For the uncorrected formation energy, the calculation gives -2.1124 eV/atom.

```
data_Rb3Ho2TlO6
_cell_length_a 6.0648
_cell_length_b 10.5058
_cell_length_c 6.8679
_cell_angle_alpha 90.00
_cell_angle_beta 107.06
_cell_angle_gamma 90.00
_space_group_name_H-M_alt 'C 1 2/m 1'
_space_group_IT_number 12
loop_
_space_group_symop_operation_xyz
'x,y,z'
'-x,-y,-z'
'-x,y,-z'
'x,-y,z'
'x+1/2,y+1/2,z'
'-x+1/2,-y+1/2,-z'
'-x+1/2,y+1/2,-z'
'x+1/2,-y+1/2,z'
loop_
_atom_site_label
_atom_site_fract_x
_atom_site_fract_y
_atom_site_fract_z
Rb1 0.0000 0.0000 0.0000
Rb2 0.0000 0.3362 0.0000
Ho1 0.0000 0.1669 0.5000
Tl1 0.0000 0.5000 0.5000
O1 0.2162 0.0000 0.6801
O2 0.2324 0.3278 0.6809
```


[3]
Entry from Alexandria: a relaxed structure of Y6TlBi3 (GGA-PBE).

Calculated values
The value obtained for the formation enthalpy at 0 K is -6.326 eV per formula unit.

```
data_Y6TlBi3
_cell_length_a 11.9012
_cell_length_b 11.6993
_cell_length_c 8.5993
_cell_angle_alpha 90.00
_cell_angle_beta 90.00
_cell_angle_gamma 90.00
_space_group_name_H-M_alt 'C m c m'
_space_group_IT_number 63
_space_group_name_Hall '-C 2c 2'
loop_
_atom_site_label
_atom_site_fract_x
_atom_site_fract_y
_atom_site_fract_z
Y1 0.0000 0.1608 0.0028
Y2 0.1567 0.5000 0.0000
Y3 0.2469 0.2533 0.2500
Tl1 0.0000 0.3532 0.2500
Bi1 0.0000 0.3570 0.7500
Bi2 0.1466 0.0017 0.2500
```


[4]
Entry from Alexandria: a relaxed structure of IrI2NF (GGA-PBE).

Calculated values
Its energy above the lowest structure with this stoichiometry is 1465 meV/atom. For the uncorrected formation energy, the calculation gives 1.7553 eV/atom.

```
data_IrI2NF
_cell_length_a 5.4774
_cell_length_b 5.4774
_cell_length_c 3.2782
_cell_angle_alpha 90.00
_cell_angle_beta 90.00
_cell_angle_gamma 90.00
_space_group_name_H-M_alt 'P 4/m m m'
_space_group_IT_number 123
_space_group_name_Hall '-P 4 2'
loop_
_atom_site_label
_atom_site_fract_x
_atom_site_fract_y
_atom_site_fract_z
Ir1 0.0000 0.0000 0.0000
I1 0.0000 0.5000 0.5000
N1 0.5000 0.5000 0.0000
F1 0.5000 0.5000 0.5000
```


[5]
Entry from Alexandria: a relaxed structure of RbMg2Bi2 (GGA-PBE).

Calculated values
The value obtained for the formation enthalpy at 0 K is -1.075 eV per formula unit. Its energy above the lowest structure with this stoichiometry is 127 meV/atom.

```
data_RbMg2Bi2
_cell_length_a 9.2834
_cell_length_b 9.2834
_cell_length_c 3.5609
_cell_angle_alpha 90.00
_cell_angle_beta 90.00
_cell_angle_gamma 90.00
_space_group_name_H-M_alt 'P 4/m b m'
_space_group_IT_number 127
_space_group_name_Hall '-P 4 2ab'
loop_
_atom_site_label
_atom_site_fract_x
_atom_site_fract_y
_atom_site_fract_z
Rb1 0.0000 0.0000 0.0000
Mg1 0.1231 0.3769 0.0000
Bi1 0.1658 0.6658 0.5000
```


[6]
Entry from Alexandria: a relaxed structure of Ca4CrTc (GGA-PBE).

Calculated values
The value obtained for the formation enthalpy at 0 K is 7.100 eV per formula unit.

```
data_Ca4CrTc
_cell_length_a 8.9889
_cell_length_b 8.9889
_cell_length_c 8.9889
_cell_angle_alpha 90.00
_cell_angle_beta 90.00
_cell_angle_gamma 90.00
_space_group_name_H-M_alt 'F -4 3 m'
_space_group_IT_number 216
_space_group_name_Hall 'F -4 2 3'
loop_
_atom_site_label
_atom_site_fract_x
_atom_site_fract_y
_atom_site_fract_z
Ca1 0.1241 0.1241 0.3759
Cr1 0.0000 0.0000 0.0000
Tc1 0.2500 0.2500 0.7500
```


[7]
Entry from Alexandria: a relaxed structure of Dy8GeAs3Se4 (GGA-PBE).

Calculated values
For the uncorrected formation energy, the calculation gives -1.6417 eV/atom.

```
data_Dy8GeAs3Se4
_cell_length_a 8.2179
_cell_length_b 8.2179
_cell_length_c 20.1763
_cell_angle_alpha 90.00
_cell_angle_beta 90.00
_cell_angle_gamma 120.00
_space_group_name_H-M_alt 'R -3 m'
_space_group_IT_number 166
_space_group_name_Hall '-R 3 2"'
loop_
_atom_site_label
_atom_site_fract_x
_atom_site_fract_y
_atom_site_fract_z
Dy1 0.0000 0.0000 0.2459
Dy2 0.0028 0.5014 0.2458
Ge1 0.0000 0.0000 0.5000
As1 0.0000 0.5000 0.5000
Se1 0.0000 0.0000 0.0000
Se2 0.0000 0.5000 0.0000
```


[8]
Entry from Alexandria: a relaxed structure of TmThAl6 (GGA-PBE).

Calculated values
The value obtained for the formation enthalpy at 0 K is -3.174 eV per formula unit.

```
data_TmThAl6
_cell_length_a 4.6440
_cell_length_b 6.3718
_cell_length_c 11.0164
_cell_angle_alpha 90.00
_cell_angle_beta 90.00
_cell_angle_gamma 90.00
_space_group_name_H-M_alt 'A m m 2'
_space_group_IT_number 38
loop_
_space_group_symop_operation_xyz
'x,y,z'
'-x,-y,z'
'-x,y,z'
'x,-y,z'
'x,y+1/2,z+1/2'
'-x,-y+1/2,z+1/2'
'-x,y+1/2,z+1/2'
'x,-y+1/2,z+1/2'
loop_
_atom_site_label
_atom_site_fract_x
_atom_site_fract_y
_atom_site_fract_z
Tm1 0.0000 0.0000 0.0000
Th1 0.5000 0.0000 0.3327
Al1 0.0000 0.0000 0.5239
Al2 0.0000 0.2129 0.7375
Al3 0.5000 0.0000 0.8127
Al4 0.5000 0.2189 0.5932
```


Sequential V output: 14.205; 17.431; 29.933; 19.670; 30.688; 30.262; 24.584; 20.374 Å³/atom